(1)
First-principles (PBE) data for NaNiAsPd after structural relaxation, as listed in Alexandria.

Values from the calculation:
Energy relative to the elements, eV/atom: -0.137

The structure in POSCAR format:
```
NaNiAsPd
1.0
-1.6274 -2.5284 2.4051
0.1326 -2.6967 -2.7451
9.1585 -2.8298 3.2224
Na Ni As Pd
2 2 2 2
Cartesian
1.3794 -4.6914 0.6248 Na
6.2843 -3.3634 2.2576 Na
-1.1874 -2.5704 1.1176 Ni
-0.3074 -2.6546 -1.4576 Ni
6.8421 -6.3793 2.5468 As
0.8216 -1.6756 0.3356 As
4.2719 -4.0695 0.1536 Pd
3.3918 -3.9853 2.7288 Pd
```

(2)
First-principles (PBE) data for Hf2HPdRh after structural relaxation, as listed in Alexandria.

Values from the calculation:
Offset from the most stable computed form, eV/atom: 0.000

The structure in POSCAR format:
```
Hf2HPdRh
1.0
4.4678 0.0000 0.0000
0.0000 4.4678 0.0000
0.0000 0.0000 3.6924
Rh Hf Pd H
1 2 1 1
Cartesian
0.0000 0.0000 1.8462 Rh
0.0000 2.2339 0.0000 Hf
2.2339 0.0000 0.0000 Hf
2.2339 2.2339 1.8462 Pd
0.0000 0.0000 0.0000 H
```

(3)
First-principles (PBE) data for Eu2HRh after structural relaxation, as listed in Alexandria.

Values from the calculation:
Offset from the most stable computed form, eV/atom: 0.000

The structure in POSCAR format:
```
Eu2HRh
1.0
-0.2802 -0.4841 -3.8791
-1.7073 -3.2136 -1.4555
-6.4170 1.8082 -1.7420
Eu H Rh
2 1 1
Cartesian
-6.1925 -1.4756 -5.3082 Eu
-2.2119 -0.4138 -1.7685 Eu
-4.2022 -0.9447 -3.5383 H
0.0000 0.0000 0.0000 Rh
```

(4)
First-principles (PBE) data for Pd6Pt2W after structural relaxation, as listed in Alexandria.

Values from the calculation:
Energy relative to the elements, eV/atom: -0.159

The structure in POSCAR format:
```
Pd6Pt2W
1.0
-3.4478 -1.4334 1.2243
1.2539 -5.4272 -2.8231
3.8059 0.4513 4.9403
Pd Pt W
6 2 1
Cartesian
2.6578 -4.6950 1.9878 Pd
-1.0458 -1.7143 1.3537 Pd
0.2323 -5.3344 0.7146 Pd
1.3079 -2.8146 0.3880 Pd
1.3797 -1.0749 2.6269 Pd
0.3040 -3.5948 2.9534 Pd
0.3617 -1.9162 5.0812 Pt
1.2503 -4.4931 -1.7398 Pt
-1.0969 -3.4303 -0.7994 W
```

no.,VASP energy (eV/atom)
1,-4.373
2,-7.737
3,-8.135
4,-6.402